Entry A
A geometry-optimized CdAgSCl2 structure. Source: the Alexandria database, functional PBE.

Cell lengths 5.194, 5.194, 5.078 Å; angles 90.00, 90.00, 90.00 degrees
Positions (direct):
1 Cd 0.000 0.000 0.000
2 Ag 0.500 0.500 0.500
3 S 0.000 0.000 0.500
4 Cl 0.000 0.500 0.000
5 Cl 0.500 0.000 0.000

Calculated values
Space-group type: P4/mmm

Entry B
A geometry-optimized CdAgSCl2 structure. Source: the Alexandria database, functional PBE.

Cell lengths 4.861, 4.861, 5.175 Å; angles 90.00, 90.00, 90.00 degrees
Positions (direct):
1 Cd 0.000 0.000 0.000
2 Ag 0.500 0.500 0.500
3 S 0.500 0.500 0.000
4 Cl 0.000 0.500 0.500
5 Cl 0.500 0.000 0.500

Calculated values
Space-group type: P4/mmm

Verdict on stability: entry B comes out at the bottom.